Entry from the Alexandria database: an optimized crystal structure of MoCl (PBE).

## Properties
- ΔE_f (raw): -0.15 eV/atom
- ρ: 5.15 Mg/m³
- Symmetry: No. 12
- Energy relative to the lowest polymorph listed for this composition: 265 meV per atom
- Volume: 21.20 A^3/atom
- M_tot: 0.00 μB per cell

Unit cell a=6.052 b=6.052 c=3.298 alpha=90.42 beta=90.42 gamma=44.60
Positions (direct):
Mo (0.074, 0.074, 0.252)
Mo (0.926, 0.926, 0.748)
Cl (0.351, 0.351, 0.746)
Cl (0.649, 0.649, 0.254)